# PuBr3Cl, relaxed, DFT PBE
data_PuBr3Cl
_chemical_formula_sum 'Pu4 Br12 Cl4'
_symmetry_space_group_name_H-M 'I m m a'
_symmetry_Int_Tables_number 74
_symmetry_space_group_name_Hall '-I 2b 2'
_cell_length_a 8.378
_cell_length_b 9.513
_cell_length_c 10.099
_cell_angle_alpha 90.00
_cell_angle_beta 90.00
_cell_angle_gamma 90.00
loop_
_atom_site_label
_atom_site_type_symbol
_atom_site_fract_x
_atom_site_fract_y
_atom_site_fract_z
Pu1 Pu 0.250 0.250 0.250
Br1 Br 0.000 0.250 0.058
Br2 Br 0.250 0.030 0.750
Cl1 Cl 0.000 0.250 0.418
# Total DFT energy (no corrections), eV per cell: -111.866
# Mass density, Mg/m³: 4.28
# Uncorrected formation energy, eV per formula unit: -6.8

=====

# La3NdZn, relaxed, DFT PBE
data_La3NdZn
_chemical_formula_sum 'La12 Nd4 Zn4'
_symmetry_space_group_name_H-M 'C m c m'
_symmetry_Int_Tables_number 63
_symmetry_space_group_name_Hall '-C 2c 2'
_cell_length_a 8.428
_cell_length_b 15.174
_cell_length_c 5.378
_cell_angle_alpha 90.00
_cell_angle_beta 90.00
_cell_angle_gamma 90.00
loop_
_atom_site_label
_atom_site_type_symbol
_atom_site_fract_x
_atom_site_fract_y
_atom_site_fract_z
La1 La 0.000 0.091 0.250
La2 La 0.205 0.343 0.250
Nd1 Nd 0.000 0.446 0.750
Zn1 Zn 0.000 0.257 0.750
# Total DFT energy (no corrections), eV per cell: -83.179
# Mass density, Mg/m³: 6.05
# Formation energy from the elements, kJ/mol of atoms: 1

=====

# HfMnCd2, relaxed, DFT PBE
data_HfMnCd2
_chemical_formula_sum 'Hf4 Mn4 Cd8'
_symmetry_space_group_name_H-M 'I -4 2 d'
_symmetry_Int_Tables_number 122
_symmetry_space_group_name_Hall 'I -4 2bw'
_cell_length_a 3.875
_cell_length_b 3.875
_cell_length_c 20.996
_cell_angle_alpha 90.00
_cell_angle_beta 90.00
_cell_angle_gamma 90.00
loop_
_atom_site_label
_atom_site_type_symbol
_atom_site_fract_x
_atom_site_fract_y
_atom_site_fract_z
Hf1 Hf 0.000 0.000 0.000
Mn1 Mn 0.000 0.000 0.500
Cd1 Cd 0.239 0.250 0.625
# Total DFT energy (no corrections), eV per cell: -73.824
# Mass density, Mg/m³: 9.65
# Formation energy from the elements, kJ/mol of atoms: 60

=====

# Sr5Ag3Cl12, relaxed, DFT PBE
data_Sr5Ag3Cl12
_chemical_formula_sum 'Sr40 Ag24 Cl96'
_symmetry_space_group_name_H-M 'I a -3 d'
_symmetry_Int_Tables_number 230
_symmetry_space_group_name_Hall '-I 4bd 2c 3'
_cell_length_a 17.369
_cell_length_b 17.369
_cell_length_c 17.369
_cell_angle_alpha 90.00
_cell_angle_beta 90.00
_cell_angle_gamma 90.00
loop_
_atom_site_label
_atom_site_type_symbol
_atom_site_fract_x
_atom_site_fract_y
_atom_site_fract_z
Sr1 Sr 0.000 0.000 0.000
Sr2 Sr 0.000 0.250 0.375
Ag1 Ag 0.000 0.250 0.125
Cl1 Cl 0.029 0.075 0.647
# Total DFT energy (no corrections), eV per cell: -576.508
# Mass density, Mg/m³: 3.01
# Uncorrected formation energy, eV per formula unit: -32.9

=====

# CaSb3Au, relaxed, DFT PBE
data_CaSb3Au
_chemical_formula_sum 'Ca1 Sb3 Au1'
_symmetry_space_group_name_H-M 'P m -3 m'
_symmetry_Int_Tables_number 221
_symmetry_space_group_name_Hall '-P 4 2 3'
_cell_length_a 5.451
_cell_length_b 5.451
_cell_length_c 5.451
_cell_angle_alpha 90.00
_cell_angle_beta 90.00
_cell_angle_gamma 90.00
loop_
_atom_site_label
_atom_site_type_symbol
_atom_site_fract_x
_atom_site_fract_y
_atom_site_fract_z
Ca1 Ca 0.000 0.000 0.000
Sb1 Sb 0.000 0.500 0.500
Au1 Au 0.500 0.500 0.500
# Total DFT energy (no corrections), eV per cell: -17.227
# Mass density, Mg/m³: 6.18
# Uncorrected formation energy, eV per formula unit: 0.4

=====

# LaYPS, relaxed, DFT PBE
data_LaYPS
_chemical_formula_sum 'La3 Y3 P3 S3'
_symmetry_space_group_name_H-M 'R 3 m'
_symmetry_Int_Tables_number 160
_symmetry_space_group_name_Hall 'R 3 -2"'
_cell_length_a 4.0848
_cell_length_b 4.0848
_cell_length_c 20.1667
_cell_angle_alpha 90.00
_cell_angle_beta 90.00
_cell_angle_gamma 120.00
loop_
_atom_site_label
_atom_site_type_symbol
_atom_site_fract_x
_atom_site_fract_y
_atom_site_fract_z
La1 La 0.0000 0.0000 0.0000
Y1 Y 0.0000 0.0000 0.4950
P1 P 0.0000 0.0000 0.7525
S1 S 0.0000 0.0000 0.2422
# Total DFT energy (no corrections), eV per cell: -85.548
# Mass density, Mg/m³: 4.97
# Uncorrected formation energy, eV per formula unit: -7.6

=====

# MnAl2Zn2, relaxed, DFT PBE
data_MnAl2Zn2
_chemical_formula_sum 'Mn2 Al4 Zn4'
_symmetry_space_group_name_H-M 'P 4/m b m'
_symmetry_Int_Tables_number 127
_symmetry_space_group_name_Hall '-P 4 2ab'
_cell_length_a 6.513
_cell_length_b 6.513
_cell_length_c 3.545
_cell_angle_alpha 90.00
_cell_angle_beta 90.00
_cell_angle_gamma 90.00
loop_
_atom_site_label
_atom_site_type_symbol
_atom_site_fract_x
_atom_site_fract_y
_atom_site_fract_z
Mn1 Mn 0.000 0.000 0.000
Al1 Al 0.152 0.348 0.000
Zn1 Zn 0.153 0.653 0.500
# Total DFT energy (no corrections), eV per cell: -35.176
# Mass density, Mg/m³: 5.29
# Formation energy from the elements, kJ/mol of atoms: 31

=====

# Sn2Pt5Rh, relaxed, DFT PBE
data_Sn2Pt5Rh
_chemical_formula_sum 'Sn4 Pt10 Rh2'
_symmetry_space_group_name_H-M 'P b a m'
_symmetry_Int_Tables_number 55
_symmetry_space_group_name_Hall '-P 2 2ab'
_cell_length_a 5.728
_cell_length_b 11.451
_cell_length_c 4.022
_cell_angle_alpha 90.00
_cell_angle_beta 90.00
_cell_angle_gamma 90.00
loop_
_atom_site_label
_atom_site_type_symbol
_atom_site_fract_x
_atom_site_fract_y
_atom_site_fract_z
Sn1 Sn 0.239 0.121 0.000
Pt1 Pt 0.000 0.500 0.500
Pt2 Pt 0.008 0.749 0.500
Pt3 Pt 0.245 0.374 0.000
Rh1 Rh 0.000 0.000 0.500
# Total DFT energy (no corrections), eV per cell: -97.464
# Mass density, Mg/m³: 16.56
# Formation energy from the elements, kJ/mol of atoms: -38

=====

# Mo2NCl3, relaxed, DFT PBE
data_Mo2NCl3
_chemical_formula_sum 'Mo8 N4 Cl12'
_symmetry_space_group_name_H-M 'C 1 2/m 1'
_symmetry_Int_Tables_number 12
_symmetry_space_group_name_Hall '-C 2y'
_cell_length_a 17.744
_cell_length_b 3.310
_cell_length_c 10.056
_cell_angle_alpha 90.00
_cell_angle_beta 113.03
_cell_angle_gamma 90.00
loop_
_atom_site_label
_atom_site_type_symbol
_atom_site_fract_x
_atom_site_fract_y
_atom_site_fract_z
Mo1 Mo 0.056 0.000 0.226
Mo2 Mo 0.102 0.500 0.058
N1 N 0.007 0.500 0.121
Cl1 Cl 0.098 0.500 0.435
Cl2 Cl 0.129 0.000 0.868
Cl3 Cl 0.196 0.000 0.228
# Total DFT energy (no corrections), eV per cell: -154.106
# Mass density, Mg/m³: 3.82
# Uncorrected formation energy, eV per formula unit: -3.0

=====

# Dy3ErTl4Te8, relaxed, DFT PBE
data_Dy3ErTl4Te8
_chemical_formula_sum 'Dy9 Er3 Tl12 Te24'
_symmetry_space_group_name_H-M 'R -3 m'
_symmetry_Int_Tables_number 166
_symmetry_space_group_name_Hall '-R 3 2"'
_cell_length_a 8.8877
_cell_length_b 8.8877
_cell_length_c 24.5650
_cell_angle_alpha 90.00
_cell_angle_beta 90.00
_cell_angle_gamma 120.00
loop_
_atom_site_label
_atom_site_type_symbol
_atom_site_fract_x
_atom_site_fract_y
_atom_site_fract_z
Dy1 Dy 0.0000 0.5000 0.0000
Er1 Er 0.0000 0.0000 0.0000
Tl1 Tl 0.0000 0.0000 0.5000
Tl2 Tl 0.0000 0.5000 0.5000
Te1 Te 0.0000 0.0000 0.2622
Te2 Te 0.0017 0.5009 0.7375
# Total DFT energy (no corrections), eV per cell: -209.288
# Mass density, Mg/m³: 7.39
# Uncorrected formation energy, eV per formula unit: -16.8

=====

# Pm3Pr8Cd, relaxed, DFT PBE
data_Pm3Pr8Cd
_chemical_formula_sum 'Pm6 Pr16 Cd2'
_symmetry_space_group_name_H-M 'C 1 m 1'
_symmetry_Int_Tables_number 8
_symmetry_space_group_name_Hall 'C -2y'
_cell_length_a 17.072
_cell_length_b 5.801
_cell_length_c 10.055
_cell_angle_alpha 90.00
_cell_angle_beta 122.64
_cell_angle_gamma 90.00
loop_
_atom_site_label
_atom_site_type_symbol
_atom_site_fract_x
_atom_site_fract_y
_atom_site_fract_z
Pm1 Pm 0.000 0.000 0.000
Pm2 Pm 0.153 0.000 0.845
Pm3 Pm 0.337 0.000 0.714
Pr1 Pr 0.020 0.500 0.582
Pr2 Pr 0.061 0.000 0.415
Pr3 Pr 0.111 0.500 0.010
Pr4 Pr 0.173 0.500 0.425
Pr5 Pr 0.256 0.000 0.289
Pr6 Pr 0.269 0.500 0.851
Pr7 Pr 0.405 0.500 0.577
Pr8 Pr 0.416 0.000 0.134
Cd1 Cd 0.336 0.500 0.213
# Total DFT energy (no corrections), eV per cell: -106.786
# Mass density, Mg/m³: 6.63
# Formation energy from the elements, kJ/mol of atoms: 0

=====

# NbGaSeBr2, relaxed, DFT PBE
data_NbGaSeBr2
_chemical_formula_sum 'Nb1 Ga1 Se1 Br2'
_symmetry_space_group_name_H-M 'P 4/m m m'
_symmetry_Int_Tables_number 123
_symmetry_space_group_name_Hall '-P 4 2'
_cell_length_a 5.069
_cell_length_b 5.069
_cell_length_c 5.125
_cell_angle_alpha 90.00
_cell_angle_beta 90.00
_cell_angle_gamma 90.00
loop_
_atom_site_label
_atom_site_type_symbol
_atom_site_fract_x
_atom_site_fract_y
_atom_site_fract_z
Nb1 Nb 0.000 0.000 0.000
Ga1 Ga 0.500 0.500 0.500
Se1 Se 0.500 0.500 0.000
Br1 Br 0.000 0.500 0.500
# Total DFT energy (no corrections), eV per cell: -17.658
# Mass density, Mg/m³: 5.06
# Uncorrected formation energy, eV per formula unit: 2.3